Material: K3PuTh3Se8
Method: DFT, PBE-GGA
State: relaxed

Geometry as extended XYZ:
```
15
Lattice="-7.586 -0.391 3.923 0.500 -1.114 -8.461 3.146 -6.827 5.403" Properties=species:S:1:pos:R:3 pbc="T T T"
K 0.000 0.000 0.000
K 0.250 -0.557 -4.230
K -3.543 -0.752 -2.269
Pu 1.573 -3.414 2.702
Th -2.220 -3.609 4.663
Th -1.970 -4.166 0.432
Th 1.823 -3.971 -1.529
Se -0.827 -2.629 -1.861
Se -3.113 -5.703 2.726
Se -4.598 -2.883 0.136
Se 0.658 -5.449 0.728
Se -4.845 -2.333 4.313
Se 0.905 -5.999 -3.448
Se -1.100 -2.140 2.376
Se -2.841 -6.192 -1.512
```

Properties
ρ: 5.66 g/cm³
VASP energy: -91.412 eV per cell
M_tot: 6.4 μB/cell
calculated volume: 495.7 Å³/cell
formation energy without anion corrections: -1.5768 eV/atom
symmetry: R-3m